1.
Th8In: relaxed, PBE-GGA.

## Properties
Calculated formation energy, eV/atom: -0.022
D(E_F), states/eV per cell: 13.78

Cell lengths 4.8812, 8.0212, 8.0212 Å; angles 84.69, 72.29, 72.29 degrees
With the nearest neighbours (Å) after each atom.
Fractional coordinates of all 9 atoms:
Th (0.6646, 0.0000, 0.6709)  2 In 3.50, 10 Th 3.51-3.63
Th (0.3354, 0.0000, 0.3291)  2 In 3.50, 10 Th 3.51-3.63
Th (0.0000, 0.3297, 0.6703)  11 Th 3.51-3.68, 1 In 3.56
Th (0.3354, 0.3291, 0.0000)  2 In 3.50, 10 Th 3.51-3.63
Th (0.6703, 0.3297, 0.3297)  11 Th 3.51-3.68, 1 In 3.56
Th (0.6646, 0.6709, 0.0000)  2 In 3.50, 10 Th 3.51-3.63
Th (0.0000, 0.6703, 0.3297)  11 Th 3.51-3.68, 1 In 3.56
Th (0.3297, 0.6703, 0.6703)  11 Th 3.51-3.68, 1 In 3.56
In (0.0000, 0.0000, 0.0000)  12 Th 3.50-3.56

2.
K8Tl11: relaxed, PBE-GGA.

## Properties
Calculated formation energy, eV/atom: -0.134
D(E_F), states/eV per cell: 10.96

Cell lengths 18.2067, 18.2067, 18.2067 Å; angles 32.35, 32.35, 32.35 degrees
With the nearest neighbours (Å) after each atom.
Fractional coordinates of all 38 atoms:
K (0.3267, 0.0848, 0.6535)  7 Tl 3.59-4.00
K (0.0795, 0.0795, 0.0795)  9 Tl 3.78-4.09
K (0.9205, 0.9205, 0.9205)  9 Tl 3.78-4.09
K (0.9152, 0.3465, 0.6733)  7 Tl 3.59-4.00
K (0.3465, 0.6733, 0.9152)  7 Tl 3.59-4.00
K (0.1733, 0.8465, 0.4152)  7 Tl 3.59-4.00
K (0.5848, 0.8267, 0.1535)  7 Tl 3.59-4.00
K (0.0848, 0.6535, 0.3267)  7 Tl 3.59-4.00
K (0.8465, 0.4152, 0.1733)  7 Tl 3.59-4.00
K (0.1535, 0.5848, 0.8267)  7 Tl 3.59-4.00
K (0.8267, 0.1535, 0.5848)  7 Tl 3.59-4.00
K (0.6535, 0.3267, 0.0848)  7 Tl 3.59-4.00
K (0.4152, 0.1733, 0.8465)  7 Tl 3.59-4.00
K (0.4205, 0.4205, 0.4205)  9 Tl 3.78-4.09
K (0.6733, 0.9152, 0.3465)  7 Tl 3.59-4.00
K (0.5795, 0.5795, 0.5795)  9 Tl 3.78-4.09
Tl (0.2272, 0.9132, 0.5151)  4 Tl 3.14-3.26
Tl (0.5868, 0.2728, 0.9849)  4 Tl 3.14-3.26
Tl (0.4686, 0.0314, 0.2500)  6 Tl 3.14-3.51
Tl (0.1975, 0.1975, 0.1975)  6 Tl 3.24-3.50
Tl (0.0868, 0.4849, 0.7728)  4 Tl 3.14-3.26
Tl (0.7728, 0.0868, 0.4849)  4 Tl 3.14-3.26
Tl (0.9686, 0.7500, 0.5314)  6 Tl 3.14-3.51
Tl (0.5314, 0.9686, 0.7500)  6 Tl 3.14-3.51
Tl (0.2728, 0.9849, 0.5868)  4 Tl 3.14-3.26
Tl (0.4132, 0.7272, 0.0151)  4 Tl 3.14-3.26
Tl (0.3025, 0.3025, 0.3025)  6 Tl 3.24-3.51
Tl (0.0314, 0.2500, 0.4686)  6 Tl 3.14-3.51
Tl (0.7500, 0.5314, 0.9686)  6 Tl 3.14-3.51
Tl (0.6975, 0.6975, 0.6975)  6 Tl 3.24-3.51
Tl (0.4849, 0.7728, 0.0868)  4 Tl 3.14-3.26
Tl (0.5151, 0.2272, 0.9132)  4 Tl 3.14-3.26
Tl (0.2500, 0.4686, 0.0314)  6 Tl 3.14-3.51
Tl (0.9132, 0.5151, 0.2272)  4 Tl 3.14-3.26
Tl (0.8025, 0.8025, 0.8025)  6 Tl 3.24-3.50
Tl (0.0151, 0.4132, 0.7272)  4 Tl 3.14-3.26
Tl (0.7272, 0.0151, 0.4132)  4 Tl 3.14-3.26
Tl (0.9849, 0.5868, 0.2728)  4 Tl 3.14-3.26

3.
Pa2PtRh4: relaxed, PBE-GGA.

## Properties
Calculated formation energy, eV/atom: -0.756
D(E_F), states/eV per cell: 7.25

Cell lengths 7.5644, 7.4275, 4.7004 Å; angles 103.43, 90.00, 90.00 degrees
With the nearest neighbours (Å) after each atom.
Fractional coordinates of all 14 atoms:
Pa (0.0552, 0.7413, 0.3999)  2 Rh 2.53-2.61
Pa (0.9448, 0.2587, 0.6001)  2 Rh 2.53-2.61
Pa (0.5552, 0.7587, 0.6001)  2 Rh 2.53-2.61
Pa (0.4448, 0.2413, 0.3999)  2 Rh 2.53-2.61
Pt (0.0000, 0.0000, 0.0000)  6 Rh 2.70-2.92, 2 Pa 3.01
Pt (0.5000, 0.5000, 0.0000)  6 Rh 2.70-2.92, 2 Pa 3.01
Rh (0.8319, 0.6604, 0.8598)  2 Pa 2.61-2.91, 4 Rh 2.73-2.92, 2 Pt 2.76-2.92
Rh (0.8009, 0.4465, 0.2792)  1 Pa 2.53, 1 Pt 2.70, 2 Rh 2.73-2.81
Rh (0.6991, 0.9465, 0.2792)  1 Pa 2.53, 1 Pt 2.70, 2 Rh 2.73-2.81
Rh (0.6681, 0.1604, 0.8598)  2 Pa 2.61-2.91, 4 Rh 2.73-2.92, 2 Pt 2.76-2.92
Rh (0.3319, 0.8396, 0.1402)  2 Pa 2.61-2.91, 4 Rh 2.73-2.92, 2 Pt 2.76-2.92
Rh (0.3009, 0.0535, 0.7208)  1 Pa 2.53, 1 Pt 2.70, 2 Rh 2.73-2.81
Rh (0.1991, 0.5535, 0.7208)  1 Pa 2.53, 1 Pt 2.70, 2 Rh 2.73-2.81
Rh (0.1681, 0.3396, 0.1402)  2 Pa 2.61-2.91, 4 Rh 2.73-2.92, 2 Pt 2.76-2.92

4.
KSr2Be: relaxed, PBE-GGA.

## Properties
Calculated formation energy, eV/atom: 0.366
D(E_F), states/eV per cell: 4.13

Cell lengths 11.5438, 11.5438, 11.5438 Å; angles 22.46, 22.46, 22.46 degrees
With the nearest neighbours (Å) after each atom.
Fractional coordinates of all 4 atoms:
Sr (0.9677, 0.9677, 0.9677)  3 Be 3.12
Sr (0.5323, 0.5323, 0.5323)  3 Be 3.12
K (0.7500, 0.7500, 0.7500)  6 K 4.50, 6 Sr 4.69
Be (0.2500, 0.2500, 0.2500)  6 Sr 3.12

5.
PrMgAl2: relaxed, PBE-GGA.

## Properties
Calculated formation energy, eV/atom: -0.175
D(E_F), states/eV per cell: 3.01

Cell lengths 3.5338, 3.5338, 7.2987 Å; angles 90.00, 90.00, 90.00 degrees
With the nearest neighbours (Å) after each atom.
Fractional coordinates of all 4 atoms:
Pr (0.5000, 0.5000, 0.5000)  8 Al 3.29, 4 Pr 3.53, 2 Mg 3.65
Mg (0.5000, 0.5000, 0.0000)  8 Al 2.92
Al (0.0000, 0.0000, 0.7942)  4 Mg 2.92, 1 Al 3.00
Al (0.0000, 0.0000, 0.2058)  4 Mg 2.92, 1 Al 3.00

6.
Tl2GeSb2: relaxed, PBE-GGA.

## Properties
D(E_F), states/eV per cell: 2.43
Uncorrected formation energy, eV per atom: 0.12

Cell lengths 7.5472, 7.5472, 5.4802 Å; angles 90.00, 90.00, 90.00 degrees
With the nearest neighbours (Å) after each atom.
Fractional coordinates of all 10 atoms:
Sb (0.3651, 0.8651, 0.0000)  1 Sb 2.88, 2 Ge 2.94
Sb (0.8651, 0.6349, 0.0000)  1 Sb 2.88, 2 Ge 2.94
Sb (0.6349, 0.1349, 0.0000)  1 Sb 2.88, 2 Ge 2.94
Sb (0.1349, 0.3651, 0.0000)  1 Sb 2.88, 2 Ge 2.94
Tl (0.1790, 0.6790, 0.5000)  6 Sb 3.38-3.64
Tl (0.6790, 0.8210, 0.5000)  6 Sb 3.38-3.64
Tl (0.8210, 0.3210, 0.5000)  6 Sb 3.38-3.64
Tl (0.3210, 0.1790, 0.5000)  6 Sb 3.38-3.64
Ge (0.0000, 0.0000, 0.0000)  4 Sb 2.94
Ge (0.5000, 0.5000, 0.0000)  4 Sb 2.94

7.
HoTmPd6: relaxed, PBE-GGA.

## Properties
Calculated formation energy, eV/atom: -0.896
D(E_F), states/eV per cell: 6.39

Cell lengths 4.1041, 4.1041, 8.2073 Å; angles 90.00, 90.00, 90.00 degrees
With the nearest neighbours (Å) after each atom.
Fractional coordinates of all 8 atoms:
Ho (0.0000, 0.0000, 0.5000)  12 Pd 2.90-2.91
Tm (0.0000, 0.0000, 0.0000)  12 Pd 2.89-2.90
Pd (0.5000, 0.5000, 0.0000)  8 Pd 2.89, 4 Tm 2.90
Pd (0.5000, 0.5000, 0.5000)  4 Ho 2.90, 8 Pd 2.91
Pd (0.5000, 0.0000, 0.2484)  2 Tm 2.89, 8 Pd 2.89-2.91, 2 Ho 2.91
Pd (0.5000, 0.0000, 0.7516)  2 Tm 2.89, 8 Pd 2.89-2.91, 2 Ho 2.91
Pd (0.0000, 0.5000, 0.2484)  2 Tm 2.89, 8 Pd 2.89-2.91, 2 Ho 2.91
Pd (0.0000, 0.5000, 0.7516)  2 Tm 2.89, 8 Pd 2.89-2.91, 2 Ho 2.91

8.
TlTcBi2Br: relaxed, PBE-GGA.

## Properties
D(E_F), states/eV per cell: 3.35
Uncorrected formation energy, eV per atom: 0.11

Cell lengths 5.2633, 5.5053, 5.2633 Å; angles 90.00, 90.00, 90.00 degrees
With the nearest neighbours (Å) after each atom.
Fractional coordinates of all 5 atoms:
Tl (0.0000, 0.5000, 0.0000)  2 Tc 2.75
Bi (0.0000, 0.0000, 0.5000)  2 Tc 2.63
Bi (0.5000, 0.0000, 0.0000)  2 Tc 2.63
Br (0.5000, 0.5000, 0.5000)  4 Tl 3.72, 8 Bi 3.81
Tc (0.0000, 0.0000, 0.0000)  4 Bi 2.63, 2 Tl 2.75

9.
Ba2YSi: relaxed, PBE-GGA.

## Properties
D(E_F), states/eV per cell: 5.63
Uncorrected formation energy, eV per atom: 0.26

Cell lengths 11.8575, 11.8575, 11.8575 Å; angles 19.54, 19.54, 19.54 degrees
With the nearest neighbours (Å) after each atom.
Fractional coordinates of all 4 atoms:
Ba (0.9823, 0.9823, 0.9823)  3 Si 3.26
Ba (0.5177, 0.5177, 0.5177)  3 Si 3.26
Si (0.2500, 0.2500, 0.2500)  6 Ba 3.26
Y (0.7500, 0.7500, 0.7500)  6 Y 4.02, 6 Ba 4.22

10.
Li7BiO6: relaxed, PBE-GGA.

## Properties
D(E_F), states/eV per cell: 0.00
Uncorrected formation energy, eV per atom: -1.67

Cell lengths 6.0778, 6.0778, 6.0778 Å; angles 56.04, 56.04, 56.04 degrees
With the nearest neighbours (Å) after each atom.
Fractional coordinates of all 14 atoms:
Li (0.2696, 0.5032, 0.8773)  4 O 1.89-2.06
Li (0.0665, 0.7719, 0.5089)  4 O 1.98-2.03
Li (0.5089, 0.0665, 0.7719)  4 O 1.98-2.03
Li (0.3484, 0.3484, 0.3484)  3 O 2.10
Li (0.8773, 0.2696, 0.5032)  4 O 1.89-2.06
Li (0.5032, 0.8773, 0.2696)  4 O 1.89-2.06
Li (0.7719, 0.5089, 0.0665)  4 O 1.98-2.03
Bi (0.9982, 0.9982, 0.9982)  6 O 2.14-2.18
O (0.1231, 0.3672, 0.7584)  5 Li 1.98-2.10, 1 Bi 2.18
O (0.2028, 0.9233, 0.6114)  4 Li 1.89-2.06
O (0.6114, 0.2028, 0.9233)  4 Li 1.89-2.06
O (0.3672, 0.7584, 0.1231)  5 Li 1.98-2.10, 1 Bi 2.18
O (0.7584, 0.1231, 0.3672)  5 Li 1.98-2.10, 1 Bi 2.18
O (0.9233, 0.6114, 0.2028)  4 Li 1.89-2.06